{
  "formula": "KTmMgSe3",
  "functional": "PBE-GGA",
  "state": "relaxed",
  "cell": [[9.003, 0.000, 0.000], [0.000, 4.212, 0.000], [-3.117, 0.000, 9.602]],
  "species": ["K", "K", "Tm", "Tm", "Mg", "Mg", "Se", "Se", "Se", "Se", "Se", "Se"],
  "frac_coords": [[0.209, 0.250, 0.225], [0.791, 0.750, 0.775], [0.332, 0.750, 0.867], [0.668, 0.250, 0.133], [0.085, 0.250, 0.611], [0.915, 0.750, 0.389], [0.115, 0.250, 0.867], [0.211, 0.750, 0.545], [0.464, 0.750, 0.155], [0.536, 0.250, 0.845], [0.789, 0.250, 0.455], [0.885, 0.750, 0.133]],
  "formation_energy_uncorrected_kj_per_mol_atoms": -149,
  "dos_ef_per_ev_fu": 0.00
}

***

{
  "formula": "NiHgBr2",
  "functional": "PBE-GGA",
  "state": "relaxed",
  "cell": [[3.729, 0.000, 0.000], [0.000, 3.729, 0.000], [0.000, 0.000, 7.475]],
  "species": ["Ni", "Hg", "Br", "Br"],
  "frac_coords": [[0.000, 0.000, 0.000], [0.500, 0.500, 0.906], [0.000, 0.000, 0.689], [0.500, 0.500, 0.267]],
  "relative_energy_mev_per_atom": 388,
  "formation_energy_uncorrected_kj_per_mol_atoms": 14
}

***

{
  "formula": "Y2NbAlC",
  "functional": "PBE-GGA",
  "state": "relaxed",
  "cell": [[4.880, 0.000, 0.000], [0.000, 4.880, 0.000], [0.000, 0.000, 4.340]],
  "species": ["Y", "Y", "Nb", "Al", "C"],
  "frac_coords": [[0.000, 0.500, 0.000], [0.500, 0.000, 0.000], [0.000, 0.000, 0.500], [0.500, 0.500, 0.500], [0.000, 0.000, 0.000]],
  "formation_energy_ev_per_fu": -1.41,
  "dos_ef_per_ev_fu": 2.66
}

***

{
  "formula": "SiHgAu2",
  "functional": "PBE-GGA",
  "state": "relaxed",
  "cell": [[1.703, 0.983, 7.828], [-1.703, 0.983, 7.828], [0.000, -1.966, 7.828]],
  "species": ["Si", "Hg", "Au", "Au"],
  "frac_coords": [[0.000, 0.000, 0.000], [0.833, 0.833, 0.833], [0.403, 0.403, 0.403], [0.596, 0.596, 0.596]],
  "relative_energy_mev_per_atom": 12,
  "formation_energy_uncorrected_kj_per_mol_atoms": 7,
  "dos_ef_per_ev_fu": 1.73
}

***

{
  "formula": "HoTm3Al",
  "functional": "PBE-GGA",
  "state": "relaxed",
  "cell": [[6.390, -1.765, 0.000], [6.390, 1.765, 0.000], [-1.131, 0.000, 12.236]],
  "species": ["Ho", "Ho", "Tm", "Tm", "Tm", "Tm", "Tm", "Tm", "Al", "Al"],
  "frac_coords": [[0.225, 0.225, 0.249], [0.775, 0.775, 0.751], [0.034, 0.034, 0.694], [0.141, 0.141, 0.950], [0.365, 0.365, 0.519], [0.635, 0.635, 0.481], [0.859, 0.859, 0.050], [0.966, 0.966, 0.306], [0.450, 0.450, 0.878], [0.550, 0.550, 0.122]],
  "relative_energy_mev_per_atom": 0,
  "formation_energy_ev_per_fu": -0.76,
  "dos_ef_per_ev_fu": 5.80
}

***

{
  "formula": "TcNiRu",
  "functional": "PBE-GGA",
  "state": "relaxed",
  "cell": [[2.695, 0.000, 0.000], [0.000, 2.695, 0.000], [0.000, 0.000, 10.957]],
  "species": ["Tc", "Tc", "Ni", "Ni", "Ru", "Ru"],
  "frac_coords": [[0.250, 0.250, 0.094], [0.750, 0.750, 0.906], [0.250, 0.250, 0.426], [0.750, 0.750, 0.574], [0.250, 0.250, 0.736], [0.750, 0.750, 0.264]],
  "relative_energy_mev_per_atom": 75,
  "formation_energy_ev_per_fu": 0.26,
  "dos_ef_per_ev_fu": 4.53
}